No. 1
Entry from Alexandria: a geometry-optimized KSc2Mo structure (PBE-GGA).

Cell and atoms, written as extended XYZ:
```
4
Lattice="-0.805 2.027 -2.133 -3.532 -3.992 -2.463 -4.040 1.660 3.103" Properties=species:S:1:pos:R:3 pbc="T T T"
K -2.422 1.844 0.485
Mo -3.786 -1.166 0.320
Sc 0.000 0.000 0.000
Sc -2.168 -0.982 -2.298
```

For the calculated total energy, the calculation gives -20.1 eV per cell. Its total magnetic moment is 0.196 μB per atom. The mass density is 3892 kg/m³. The relative energy among the computed polymorphs is 823 meV/atom. The energy relative to the elements comes out at 1.134 eV/atom.

***

No. 2
Entry from Alexandria: a geometry-optimized KSc3Mo structure (PBE-GGA).

Cell and atoms, written as extended XYZ:
```
5
Lattice="-1.735 -3.551 3.468 4.367 0.654 2.854 -2.359 3.822 2.734" Properties=species:S:1:pos:R:3 pbc="T T T"
Sc 2.184 0.327 1.427
Sc -1.180 1.911 1.367
Sc -0.867 -1.776 1.734
Mo 0.000 0.000 0.000
K 0.137 0.462 4.528
```

For the calculated total energy, the calculation gives -28.3 eV per cell. Its total magnetic moment is 0.000 μB per atom. The mass density is 3083 kg/m³. The relative energy among the computed polymorphs is 0 meV/atom. The energy relative to the elements comes out at 0.527 eV/atom.

***

No. 3
Entry from Alexandria: a geometry-optimized K4ScMo structure (PBE-GGA).

Cell and atoms, written as extended XYZ:
```
6
Lattice="0.000 5.085 5.085 5.085 0.000 5.085 5.085 5.085 0.000" Properties=species:S:1:pos:R:3 pbc="T T T"
K 3.823 6.346 6.346
K 6.346 6.346 3.823
K 6.346 3.823 6.346
K 3.823 3.823 3.823
Sc 0.000 0.000 0.000
Mo 7.627 7.627 7.627
```

For the calculated total energy, the calculation gives -13.8 eV per cell. Its total magnetic moment is 0.530 μB per atom. The mass density is 1878 kg/m³. The energy relative to the elements comes out at 1.285 eV/atom.

***

No. 4
Entry from Alexandria: a geometry-optimized K2ScMo structure (PBE-GGA).

Cell and atoms, written as extended XYZ:
```
4
Lattice="5.614 -0.001 0.000 0.009 5.614 0.000 -2.811 -2.807 3.967" Properties=species:S:1:pos:R:3 pbc="T T T"
K 0.000 0.000 0.000
K 0.004 2.807 1.983
Mo 2.811 2.807 0.000
Sc 2.807 0.000 1.983
```

For the calculated total energy, the calculation gives -13.9 eV per cell. Its total magnetic moment is 0.732 μB per atom. The mass density is 2910 kg/m³. The relative energy among the computed polymorphs is 582 meV/atom. The energy relative to the elements comes out at 1.353 eV/atom.

***

Question: Number 2 is which compound?
Answer: KSc3Mo

***

Question: What is the mass density in the fourth record?
Answer: 2910 kg/m³

***

Question: Which value of mass density does entry 4 give?
Answer: 2910 kg/m³